# 1
Sm4CdGe after structural relaxation, computed with PBE.

abc: 9.9815 9.9815 9.9815
angles: 60.00 60.00 60.00
Closest atoms and distances in Å follow each position.
Element x y z (fractional)
Ge 0.1863 0.6046 0.6046  6 Sm 2.96-3.00
Ge 0.6046 0.6046 0.1863  6 Sm 2.96-3.00
Ge 0.6046 0.1863 0.6046  6 Sm 2.96-3.00
Ge 0.6046 0.6046 0.6046  6 Sm 2.96-3.00
Sm 0.9375 0.9375 0.5625  2 Ge 2.96
Sm 0.9375 0.5625 0.9375  2 Ge 2.96
Sm 0.8158 0.1842 0.1842  2 Cd 3.38, 2 Ge 3.64, 10 Sm 3.64-3.75
Sm 0.5625 0.9375 0.9375  2 Ge 2.96
Sm 0.5625 0.5625 0.9375  2 Ge 2.96
Sm 0.8158 0.1842 0.8158  2 Cd 3.38, 2 Ge 3.64, 10 Sm 3.64-3.75
Sm 0.1842 0.8158 0.1842  2 Cd 3.38, 2 Ge 3.64, 10 Sm 3.64-3.75
Sm 0.3919 0.8242 0.3919  3 Ge 3.00
Sm 0.1842 0.1842 0.8158  2 Cd 3.38, 2 Ge 3.64, 10 Sm 3.64-3.75
Sm 0.5625 0.9375 0.5625  2 Ge 2.96
Sm 0.1842 0.8158 0.8158  2 Cd 3.38, 2 Ge 3.64, 10 Sm 3.64-3.75
Sm 0.3919 0.3919 0.8242  3 Ge 3.00
Sm 0.3919 0.3919 0.3919  3 Ge 3.00
Sm 0.8158 0.8158 0.1842  2 Cd 3.38, 2 Ge 3.64, 10 Sm 3.64-3.75
Sm 0.8242 0.3919 0.3919  3 Ge 3.00
Sm 0.9375 0.5625 0.5625  2 Ge 2.96
Cd 0.1688 0.1688 0.4936  3 Cd 3.24, 6 Sm 3.37-3.38
Cd 0.4936 0.1688 0.1688  3 Cd 3.24, 6 Sm 3.37-3.38
Cd 0.1688 0.4936 0.1688  3 Cd 3.24, 6 Sm 3.37-3.38
Cd 0.1688 0.1688 0.1688  3 Cd 3.24, 6 Sm 3.37-3.38

Calculated values
Calculated total energy ... -4.46 eV/atom

=====

# 2
SmCdGe2 after structural relaxation, computed with PBE.

abc: 4.6038 4.6038 5.6290
angles: 65.86 65.86 60.00
Closest atoms and distances in Å follow each position.
Element x y z (fractional)
Ge 0.7311 0.7311 0.8066  3 Cd 2.83, 3 Sm 3.06
Ge 0.2689 0.2689 0.1934  3 Cd 2.83, 3 Sm 3.06
Cd 0.0000 0.0000 0.0000  6 Ge 2.83
Sm 0.5000 0.5000 0.5000  6 Ge 3.06

Calculated values
Calculated total energy ... -3.98 eV/atom

=====

# 3
Sm2CdGe after structural relaxation, computed with PBE.

abc: 3.9728 5.0675 5.0675
angles: 90.00 90.00 90.00
Closest atoms and distances in Å follow each position.
Element x y z (fractional)
Cd 0.5000 0.5000 0.5000  8 Sm 3.22, 4 Ge 3.58
Ge 0.5000 0.0000 0.0000  8 Sm 3.22, 4 Cd 3.58
Sm 0.0000 0.5000 0.0000  4 Cd 3.22, 4 Ge 3.22, 4 Sm 3.58
Sm 0.0000 0.0000 0.5000  4 Cd 3.22, 4 Ge 3.22, 4 Sm 3.58

Calculated values
Calculated total energy ... -4.24 eV/atom

=====

# 4
SmThCdGe after structural relaxation, computed with PBE.

abc: 5.2923 5.2923 5.2923
angles: 60.00 60.00 60.00
Closest atoms and distances in Å follow each position.
Element x y z (fractional)
Sm 0.5000 0.5000 0.5000  4 Cd 3.24, 4 Ge 3.24
Th 0.0000 0.0000 0.0000  4 Ge 3.24, 4 Cd 3.24
Cd 0.7500 0.7500 0.7500  4 Sm 3.24, 4 Th 3.24
Ge 0.2500 0.2500 0.2500  4 Th 3.24, 4 Sm 3.24

Calculated values
Calculated total energy ... -4.77 eV/atom

=====

# 5
CdSn2Ge after structural relaxation, computed with PBE.

abc: 4.0921 4.0921 7.6846
angles: 74.56 74.56 60.00
Closest atoms and distances in Å follow each position.
Element x y z (fractional)
Ge 0.6663 0.6663 0.0011  6 Sn 2.86-2.87
Sn 0.2599 0.2599 0.2204  3 Ge 2.86, 3 Cd 3.13
Sn 0.0741 0.0741 0.7776  3 Ge 2.87, 3 Cd 3.11
Cd 0.4997 0.4997 0.5008  6 Sn 3.11-3.13

Calculated values
Calculated total energy ... -3.24 eV/atom

=====

# 6
CdSn2Ge after structural relaxation, computed with PBE.

abc: 3.2671 3.2671 11.2783
angles: 81.67 81.67 60.00
Closest atoms and distances in Å follow each position.
Element x y z (fractional)
Sn 0.9077 0.9077 0.2770  1 Cd 3.08, 3 Ge 3.12, 6 Sn 3.27
Sn 0.0923 0.0923 0.7230  1 Cd 3.08, 3 Ge 3.12, 6 Sn 3.27
Cd 0.0000 0.0000 0.0000  2 Sn 3.08, 6 Cd 3.27
Ge 0.5000 0.5000 0.5000  6 Sn 3.12, 6 Ge 3.27

Calculated values
Calculated total energy ... -3.22 eV/atom

=====

# 7
Cd2SnGe2 after structural relaxation, computed with PBE.

abc: 4.5379 4.5379 6.6544
angles: 70.06 70.06 90.00
Closest atoms and distances in Å follow each position.
Element x y z (fractional)
Cd 0.7500 0.2500 0.5000  4 Ge 2.83
Cd 0.2500 0.7500 0.5000  4 Ge 2.83
Sn 0.0000 0.0000 0.0000  8 Ge 3.44, 8 Cd 3.69
Ge 0.6056 0.6056 0.7887  1 Ge 2.46
Ge 0.3944 0.3944 0.2113  1 Ge 2.46

Calculated values
Calculated total energy ... -2.82 eV/atom

=====

# 8
CdSn2Ge after structural relaxation, computed with PBE.

abc: 4.3647 4.7500 4.7500
angles: 90.00 90.00 90.00
Closest atoms and distances in Å follow each position.
Element x y z (fractional)
Sn 0.0000 0.0000 0.5000  4 Ge 3.23, 4 Cd 3.23, 4 Sn 3.36
Sn 0.0000 0.5000 0.0000  4 Ge 3.23, 4 Cd 3.23, 4 Sn 3.36
Cd 0.5000 0.0000 0.0000  8 Sn 3.23, 4 Ge 3.36
Ge 0.5000 0.5000 0.5000  8 Sn 3.23, 4 Cd 3.36

Calculated values
Calculated total energy ... -3.23 eV/atom

=====

# 9
Cd2SnGe after structural relaxation, computed with PBE.

abc: 4.4599 4.5670 4.5670
angles: 90.00 90.00 90.00
Closest atoms and distances in Å follow each position.
Element x y z (fractional)
Sn 0.5000 0.5000 0.5000  8 Cd 3.19, 4 Ge 3.23
Ge 0.5000 0.0000 0.0000  8 Cd 3.19, 4 Sn 3.23
Cd 0.0000 0.5000 0.0000  4 Ge 3.19, 4 Sn 3.19, 4 Cd 3.23
Cd 0.0000 0.0000 0.5000  4 Ge 3.19, 4 Sn 3.19, 4 Cd 3.23

Calculated values
Calculated total energy ... -2.48 eV/atom

=====

# 10
Cd2SnGe after structural relaxation, computed with PBE.

abc: 3.2102 3.2102 10.8362
angles: 81.48 81.48 60.00
Closest atoms and distances in Å follow each position.
Element x y z (fractional)
Cd 0.0924 0.0924 0.7229  1 Sn 2.96, 3 Ge 3.02, 6 Cd 3.21
Cd 0.9076 0.9076 0.2771  1 Sn 2.96, 3 Ge 3.02, 6 Cd 3.21
Ge 0.5000 0.5000 0.5000  6 Cd 3.02, 6 Ge 3.21
Sn 0.0000 0.0000 0.0000  2 Cd 2.96, 6 Sn 3.21

Calculated values
Calculated total energy ... -2.47 eV/atom

=====

# 11
Cd2SnGe2 after structural relaxation, computed with PBE.

abc: 8.4378 8.4378 3.2158
angles: 90.00 90.00 90.00
Closest atoms and distances in Å follow each position.
Element x y z (fractional)
Ge 0.6713 0.1713 0.0000  6 Cd 2.87-3.02, 2 Sn 3.13, 2 Ge 3.22
Ge 0.3287 0.8287 0.0000  6 Cd 2.87-3.02, 2 Sn 3.13, 2 Ge 3.22
Ge 0.1713 0.3287 0.0000  6 Cd 2.87-3.02, 2 Sn 3.13, 2 Ge 3.22
Ge 0.8287 0.6713 0.0000  6 Cd 2.87-3.02, 2 Sn 3.13, 2 Ge 3.22
Sn 0.0000 0.0000 0.0000  4 Ge 3.13, 2 Sn 3.22
Sn 0.5000 0.5000 0.0000  4 Ge 3.13, 2 Sn 3.22
Cd 0.3708 0.1292 0.5000  6 Ge 2.87-3.02, 3 Cd 3.08-3.22
Cd 0.6292 0.8708 0.5000  6 Ge 2.87-3.02, 3 Cd 3.08-3.22
Cd 0.8708 0.3708 0.5000  6 Ge 2.87-3.02, 3 Cd 3.08-3.22
Cd 0.1292 0.6292 0.5000  6 Ge 2.87-3.02, 3 Cd 3.08-3.22

Calculated values
Calculated total energy ... -2.82 eV/atom

=====

# 12
Cd2SnGe after structural relaxation, computed with PBE.

abc: 4.4548 4.4548 6.4923
angles: 69.94 69.94 60.00
Closest atoms and distances in Å follow each position.
Element x y z (fractional)
Ge 0.6632 0.6632 0.0105  6 Cd 2.84-2.91, 1 Sn 2.87
Cd 0.2621 0.2621 0.2137  3 Ge 2.84, 3 Sn 3.06
Cd 0.0723 0.0723 0.7830  3 Ge 2.91, 3 Sn 3.10
Sn 0.5024 0.5024 0.4928  1 Ge 2.87, 6 Cd 3.06-3.10

Calculated values
Calculated total energy ... -2.47 eV/atom

=====

# 13
Cd12Sn3Ge5 after structural relaxation, computed with PBE.

abc: 14.1878 14.1878 14.1878
angles: 109.47 109.47 109.47
Closest atoms and distances in Å follow each position.
Element x y z (fractional)
Cd 0.2222 0.6741 0.1015  2 Ge 2.63-2.74, 1 Sn 2.93
Cd 0.1207 0.3985 0.0726  2 Ge 2.63-2.74, 1 Sn 2.93
Cd 0.4274 0.3793 0.6015  2 Ge 2.63-2.74, 1 Sn 2.93
Cd 0.8793 0.6015 0.9274  2 Ge 2.63-2.74, 1 Sn 2.93
Cd 0.1015 0.9274 0.3793  2 Ge 2.63-2.74, 1 Sn 2.93
Cd 0.8985 0.0726 0.6207  2 Ge 2.63-2.74, 1 Sn 2.93
Cd 0.3259 0.7778 0.3985  2 Ge 2.63-2.74, 1 Sn 2.93
Cd 0.7222 0.1207 0.0481  2 Ge 2.63-2.74, 1 Sn 2.93
Cd 0.9274 0.1015 0.8793  2 Ge 2.63-2.74, 1 Sn 2.93
Cd 0.8985 0.8259 0.7778  2 Ge 2.63-2.74, 1 Sn 2.93
Cd 0.8259 0.8985 0.2778  2 Ge 2.63-2.74, 1 Sn 2.93
Cd 0.7222 0.6015 0.1741  2 Ge 2.63-2.74, 1 Sn 2.93
Cd 0.7778 0.3259 0.8985  2 Ge 2.63-2.74, 1 Sn 2.93
Cd 0.4519 0.7778 0.8793  2 Ge 2.63-2.74, 1 Sn 2.93
Cd 0.6015 0.8793 0.4274  2 Ge 2.63-2.74, 1 Sn 2.93
Cd 0.5726 0.9519 0.6741  2 Ge 2.63-2.74, 1 Sn 2.93
Cd 0.3985 0.1207 0.5726  2 Ge 2.63-2.74, 1 Sn 2.93
Cd 0.5726 0.6207 0.3985  2 Ge 2.63-2.74, 1 Sn 2.93
Cd 0.9519 0.5726 0.1741  2 Ge 2.63-2.74, 1 Sn 2.93
Cd 0.3985 0.2778 0.3259  2 Ge 2.63-2.74, 1 Sn 2.93
Cd 0.6015 0.7222 0.6741  2 Ge 2.63-2.74, 1 Sn 2.93
Cd 0.8259 0.9274 0.0481  2 Ge 2.63-2.74, 1 Sn 2.93
Cd 0.0481 0.6207 0.7222  2 Ge 2.63-2.74, 1 Sn 2.93
Cd 0.4274 0.0481 0.3259  2 Ge 2.63-2.74, 1 Sn 2.93
Cd 0.6741 0.2222 0.6015  2 Ge 2.63-2.74, 1 Sn 2.93
Cd 0.8793 0.2778 0.4519  2 Ge 2.63-2.74, 1 Sn 2.93
Cd 0.3793 0.4274 0.1015  2 Ge 2.63-2.74, 1 Sn 2.93
Cd 0.0726 0.8985 0.1207  2 Ge 2.63-2.74, 1 Sn 2.93
Cd 0.2222 0.5481 0.6207  2 Ge 2.63-2.74, 1 Sn 2.93
Cd 0.2778 0.3985 0.8259  2 Ge 2.63-2.74, 1 Sn 2.93
Cd 0.1207 0.7222 0.5481  2 Ge 2.63-2.74, 1 Sn 2.93
Cd 0.9274 0.8259 0.5481  2 Ge 2.63-2.74, 1 Sn 2.93
Cd 0.1741 0.0726 0.9519  2 Ge 2.63-2.74, 1 Sn 2.93
Cd 0.6207 0.0481 0.2222  2 Ge 2.63-2.74, 1 Sn 2.93
Cd 0.1741 0.1015 0.7222  2 Ge 2.63-2.74, 1 Sn 2.93
Cd 0.3259 0.5481 0.4274  2 Ge 2.63-2.74, 1 Sn 2.93
Cd 0.0726 0.1741 0.4519  2 Ge 2.63-2.74, 1 Sn 2.93
Cd 0.6207 0.5726 0.8985  2 Ge 2.63-2.74, 1 Sn 2.93
Cd 0.5481 0.2222 0.1207  2 Ge 2.63-2.74, 1 Sn 2.93
Cd 0.3793 0.9519 0.7778  2 Ge 2.63-2.74, 1 Sn 2.93
Cd 0.1015 0.1741 0.2222  2 Ge 2.63-2.74, 1 Sn 2.93
Cd 0.2778 0.8793 0.9519  2 Ge 2.63-2.74, 1 Sn 2.93
Cd 0.6741 0.4519 0.5726  2 Ge 2.63-2.74, 1 Sn 2.93
Cd 0.9519 0.3793 0.2778  2 Ge 2.63-2.74, 1 Sn 2.93
Cd 0.5481 0.3259 0.9274  2 Ge 2.63-2.74, 1 Sn 2.93
Cd 0.4519 0.6741 0.0726  2 Ge 2.63-2.74, 1 Sn 2.93
Cd 0.0481 0.4274 0.8259  2 Ge 2.63-2.74, 1 Sn 2.93
Cd 0.7778 0.4519 0.3793  2 Ge 2.63-2.74, 1 Sn 2.93
Sn 0.2500 0.6250 0.8750  8 Cd 2.93-3.24
Sn 0.2500 0.1250 0.3750  8 Cd 2.93-3.24
Sn 0.6250 0.2500 0.3750  8 Cd 2.93-3.24
Sn 0.1250 0.2500 0.8750  8 Cd 2.93-3.24
Sn 0.8750 0.1250 0.2500  8 Cd 2.93-3.24
Sn 0.6250 0.3750 0.7500  8 Cd 2.93-3.24
Sn 0.1250 0.8750 0.7500  8 Cd 2.93-3.24
Sn 0.3750 0.6250 0.2500  8 Cd 2.93-3.24
Sn 0.3750 0.7500 0.6250  8 Cd 2.93-3.24
Sn 0.7500 0.8750 0.6250  8 Cd 2.93-3.24
Sn 0.8750 0.7500 0.1250  8 Cd 2.93-3.24
Sn 0.7500 0.3750 0.1250  8 Cd 2.93-3.24
Ge 0.5000 0.5000 0.0000  6 Cd 2.74
Ge 0.2500 0.3750 0.6250  4 Cd 2.63
Ge 0.5000 0.0000 0.0000  6 Cd 2.74
Ge 0.0000 0.0000 0.0000  6 Cd 2.74
Ge 0.8750 0.2500 0.6250  4 Cd 2.63
Ge 0.0000 0.5000 0.5000  6 Cd 2.74
Ge 0.6250 0.7500 0.8750  4 Cd 2.63
Ge 0.7500 0.1250 0.8750  4 Cd 2.63
Ge 0.3750 0.1250 0.7500  4 Cd 2.63
Ge 0.8750 0.6250 0.7500  4 Cd 2.63
Ge 0.5000 0.5000 0.5000  6 Cd 2.74
Ge 0.6250 0.8750 0.2500  4 Cd 2.63
Ge 0.0000 0.5000 0.0000  6 Cd 2.74
Ge 0.1250 0.7500 0.3750  4 Cd 2.63
Ge 0.1250 0.3750 0.2500  4 Cd 2.63
Ge 0.2500 0.8750 0.1250  4 Cd 2.63
Ge 0.3750 0.2500 0.1250  4 Cd 2.63
Ge 0.7500 0.6250 0.3750  4 Cd 2.63
Ge 0.0000 0.0000 0.5000  6 Cd 2.74
Ge 0.5000 0.0000 0.5000  6 Cd 2.74

Calculated values
Calculated total energy ... -2.08 eV/atom

=====

# 14
Cd2SnGe after structural relaxation, computed with PBE.

abc: 8.1425 8.1425 6.4714
angles: 51.02 51.02 90.00
Closest atoms and distances in Å follow each position.
Element x y z (fractional)
Sn 0.7500 0.2500 0.5000  2 Ge 2.95, 4 Cd 3.12
Sn 0.0000 0.0000 0.0000  2 Ge 2.95, 4 Cd 3.12
Cd 0.1502 0.6250 0.2500  2 Ge 2.84, 2 Cd 2.98, 2 Sn 3.12
Cd 0.5998 0.1250 0.2500  2 Ge 2.84, 2 Cd 2.98, 2 Sn 3.12
Cd 0.3750 0.4002 0.7500  2 Ge 2.84, 2 Cd 2.98, 2 Sn 3.12
Cd 0.8750 0.8498 0.7500  2 Ge 2.84, 2 Cd 2.98, 2 Sn 3.12
Ge 0.5000 0.5000 0.0000  4 Cd 2.84, 2 Sn 2.95
Ge 0.2500 0.7500 0.5000  4 Cd 2.84, 2 Sn 2.95

Calculated values
Calculated total energy ... -2.43 eV/atom

=====

# 15
CdSn2Ge after structural relaxation, computed with PBE.

abc: 6.6496 6.6496 7.5370
angles: 63.82 63.82 90.00
Closest atoms and distances in Å follow each position.
Element x y z (fractional)
Ge 0.2500 0.7500 0.5000  4 Sn 2.69
Ge 0.5000 0.5000 0.0000  4 Sn 2.69
Sn 0.1480 0.6250 0.2500  2 Ge 2.69, 2 Cd 2.87
Sn 0.8750 0.8520 0.7500  2 Ge 2.69, 2 Cd 2.87
Sn 0.3750 0.3980 0.7500  2 Ge 2.69, 2 Cd 2.87
Sn 0.6020 0.1250 0.2500  2 Ge 2.69, 2 Cd 2.87
Cd 0.7500 0.2500 0.5000  4 Sn 2.87
Cd 0.0000 0.0000 0.0000  4 Sn 2.87

Calculated values
Calculated total energy ... -3.19 eV/atom

=====

# 16
Cd3SnGe after structural relaxation, computed with PBE.

abc: 5.4889 5.4889 5.4889
angles: 90.00 90.00 90.00
Closest atoms and distances in Å follow each position.
Element x y z (fractional)
Cd 0.5000 0.0000 0.0000  2 Sn 2.74
Cd 0.0000 0.5000 0.0000  2 Sn 2.74
Cd 0.0000 0.0000 0.5000  2 Sn 2.74
Sn 0.0000 0.0000 0.0000  6 Cd 2.74
Ge 0.5000 0.5000 0.5000  12 Cd 3.88

Calculated values
Calculated total energy ... -1.59 eV/atom

=====

# 17
Cd3SnGe after structural relaxation, computed with PBE.

abc: 5.2427 5.2427 5.2427
angles: 90.00 90.00 90.00
Closest atoms and distances in Å follow each position.
Element x y z (fractional)
Sn 0.5000 0.5000 0.5000  12 Cd 3.71
Ge 0.0000 0.0000 0.0000  6 Cd 2.62
Cd 0.0000 0.0000 0.5000  2 Ge 2.62
Cd 0.5000 0.0000 0.0000  2 Ge 2.62
Cd 0.0000 0.5000 0.0000  2 Ge 2.62

Calculated values
Calculated total energy ... -1.87 eV/atom

=====

# 18
CdSnGe2 after structural relaxation, computed with PBE.

abc: 6.3573 6.3573 7.4003
angles: 64.56 64.56 90.00
Closest atoms and distances in Å follow each position.
Element x y z (fractional)
Ge 0.3750 0.3745 0.7500  2 Sn 2.68, 2 Cd 2.69
Ge 0.6255 0.1250 0.2500  2 Sn 2.68, 2 Cd 2.69
Ge 0.8750 0.8755 0.7500  2 Sn 2.68, 2 Cd 2.69
Ge 0.1245 0.6250 0.2500  2 Sn 2.68, 2 Cd 2.69
Cd 0.2500 0.7500 0.5000  4 Ge 2.69
Cd 0.5000 0.5000 0.0000  4 Ge 2.69
Sn 0.0000 0.0000 0.0000  4 Ge 2.68
Sn 0.7500 0.2500 0.5000  4 Ge 2.68

Calculated values
Calculated total energy ... -3.26 eV/atom

=====

# 19
Cd2SnGe after structural relaxation, computed with PBE.

abc: 3.5296 3.5296 7.5778
angles: 90.00 90.00 90.00
Closest atoms and distances in Å follow each position.
Element x y z (fractional)
Sn 0.5000 0.5000 0.5000  8 Cd 3.26, 4 Sn 3.53
Ge 0.5000 0.5000 0.0000  8 Cd 3.01
Cd 0.0000 0.0000 0.7776  4 Ge 3.01, 4 Sn 3.26, 1 Cd 3.37
Cd 0.0000 0.0000 0.2224  4 Ge 3.01, 4 Sn 3.26, 1 Cd 3.37

Calculated values
Calculated total energy ... -2.45 eV/atom

=====

# 20
Cd2SnGe2 after structural relaxation, computed with PBE.

abc: 4.0055 4.0055 7.8738
angles: 75.26 75.26 90.00
Closest atoms and distances in Å follow each position.
Element x y z (fractional)
Sn 0.0000 0.0000 0.0000  8 Cd 3.21
Cd 0.6022 0.6022 0.7957  4 Ge 2.95, 1 Cd 3.00, 4 Sn 3.21
Cd 0.3978 0.3978 0.2043  4 Ge 2.95, 1 Cd 3.00, 4 Sn 3.21
Ge 0.7500 0.2500 0.5000  4 Ge 2.83, 4 Cd 2.95
Ge 0.2500 0.7500 0.5000  4 Ge 2.83, 4 Cd 2.95

Calculated values
Calculated total energy ... -2.80 eV/atom

=====

| no. | total magnetic moment (μB per cell) | formation energy from the elements (meV per atom) |
| --- | --- | --- |
| 1 | 0.0 | -396 |
| 2 | 0.0 | -260 |
| 3 | 0.0 | -502 |
| 4 | 0.0 | -351 |
| 5 | 0.0 | 145 |
| 6 | 0.0 | 161 |
| 7 | 0.0 | 197 |
| 8 | 0.0 | 155 |
| 9 | 0.0 | 137 |
| 10 | 0.0 | 138 |
| 11 | 0.0 | 195 |
| 12 | 0.0 | 144 |
| 13 | 0.0 | 220 |
| 14 | 0.0 | 187 |
| 15 | 0.0 | 198 |
| 16 | 0.0 | 680 |
| 17 | 0.0 | 398 |
| 18 | 0.0 | 276 |
| 19 | 0.0 | 166 |
| 20 | 0.0 | 217 |